Nd4Mg5Pb6 | GGA-PBE | relaxed

**Magnetic moment**: 0.0000 μB/atom
**SG**: Cmc2_1, No. 36
**DOS(E_F)**: 4.4 states/eV per cell
**ΔH_f (0 K)**: -0.3833 eV/atom

POSCAR file:
```
Nd4Mg5Pb6
1.0
2.401 -10.612 0.000
2.401 10.612 0.000
0.000 0.000 17.011
Nd Mg Pb
8 10 12
direct
0.020 0.980 0.500 Nd
0.033 0.967 0.767 Nd
0.163 0.837 0.301 Nd
0.174 0.826 0.943 Nd
0.826 0.174 0.443 Nd
0.837 0.163 0.801 Nd
0.967 0.033 0.267 Nd
0.980 0.020 0.000 Nd
0.154 0.846 0.627 Mg
0.304 0.696 0.620 Mg
0.343 0.657 0.273 Mg
0.348 0.652 0.986 Mg
0.438 0.562 0.683 Mg
0.562 0.438 0.183 Mg
0.652 0.348 0.486 Mg
0.657 0.343 0.773 Mg
0.696 0.304 0.120 Mg
0.846 0.154 0.127 Mg
0.110 0.890 0.116 Pb
0.227 0.773 0.477 Pb
0.235 0.765 0.769 Pb
0.428 0.572 0.417 Pb
0.432 0.568 0.130 Pb
0.438 0.562 0.855 Pb
0.562 0.438 0.355 Pb
0.568 0.432 0.630 Pb
0.572 0.428 0.917 Pb
0.765 0.235 0.269 Pb
0.773 0.227 0.977 Pb
0.890 0.110 0.616 Pb
```

SrOs2Ru | GGA-PBE | relaxed

**Magnetic moment**: 0.0021 μB/atom
**SG**: P4/mmm, No. 123
**Energy above the most stable polymorph in this dataset**: 624 meV per atom
**DOS(E_F)**: 5.9 states/eV per cell
**ΔH_f (0 K)**: 1.2296 eV/atom

POSCAR file:
```
SrOs2Ru
1.0
4.906 0.000 0.000
0.000 4.906 0.000
0.000 0.000 2.896
Sr Os Ru
1 2 1
direct
0.000 0.000 0.000 Sr
0.000 0.500 0.500 Os
0.500 0.000 0.500 Os
0.500 0.500 0.000 Ru
```

NaAl2AgF8 | GGA-PBE | relaxed

**Magnetic moment**: 0.0050 μB/atom
**ΔE_f (raw)**: -2.94 eV per atom
**SG**: I-4m2, No. 119
**DOS(E_F)**: 0.0 states/eV per cell

POSCAR file:
```
NaAl2AgF8
1.0
-3.705 3.705 3.387
3.705 -3.705 3.387
3.705 3.705 -3.387
Na Al Ag F
1 2 1 8
direct
0.000 0.000 0.000 Na
0.250 0.750 0.500 Al
0.500 0.500 0.000 Al
0.750 0.250 0.500 Ag
0.103 0.416 0.313 F
0.103 0.790 0.687 F
0.165 0.344 0.820 F
0.210 0.897 0.313 F
0.524 0.344 0.180 F
0.584 0.897 0.687 F
0.656 0.476 0.820 F
0.656 0.835 0.180 F
```

TaVRe2Mo | GGA-PBE | relaxed

**Magnetic moment**: 0.0000 μB/atom
**SG**: P4/mmm, No. 123
**Energy above the most stable polymorph in this dataset**: 94 meV per atom
**DOS(E_F)**: 5.0 states/eV per cell
**ΔH_f (0 K)**: 2.2230 eV/atom

POSCAR file:
```
TaVRe2Mo
1.0
4.713 0.000 0.000
0.000 4.713 0.000
0.000 0.000 4.671
Ta V Re Mo
1 1 2 1
direct
0.000 0.000 0.000 Ta
0.500 0.500 0.500 V
0.000 0.500 0.000 Re
0.500 0.000 0.000 Re
0.000 0.000 0.500 Mo
```

AcPb4Au2 | GGA-PBE | relaxed

**Magnetic moment**: 0.0000 μB/atom
**SG**: Cmmm, No. 65
**DOS(E_F)**: 4.1 states/eV per cell
**ΔH_f (0 K)**: -0.2649 eV/atom

POSCAR file:
```
AcPb4Au2
1.0
2.220 -10.121 0.000
2.220 10.121 0.000
0.000 0.000 4.629
Ac Pb Au
1 4 2
direct
0.000 0.000 0.000 Ac
0.181 0.819 0.500 Pb
0.339 0.661 0.000 Pb
0.661 0.339 0.000 Pb
0.819 0.181 0.500 Pb
0.433 0.567 0.500 Au
0.567 0.433 0.500 Au
```

Pm4Sm3Dy | GGA-PBE | relaxed

**Magnetic moment**: 0.0000 μB/atom
**SG**: C2/m, No. 12
**Energy above the most stable polymorph in this dataset**: 126 meV per atom
**DOS(E_F)**: 13.6 states/eV per cell
**ΔH_f (0 K)**: 0.1558 eV/atom

POSCAR file:
```
Pm4Sm3Dy
1.0
11.831 -1.755 0.000
11.831 1.755 0.000
-2.001 0.000 6.594
Pm Sm Dy
4 3 1
direct
0.124 0.124 0.365 Pm
0.259 0.259 0.759 Pm
0.741 0.741 0.241 Pm
0.876 0.876 0.635 Pm
0.000 0.000 0.500 Sm
0.124 0.124 0.883 Sm
0.876 0.876 0.117 Sm
0.500 0.500 0.000 Dy
```

Pa4S5N | GGA-PBE | relaxed

**Magnetic moment**: 0.0004 μB/atom
**ΔE_f (raw)**: -1.52 eV per atom
**SG**: C2/m, No. 12
**DOS(E_F)**: 11.8 states/eV per cell

POSCAR file:
```
Pa4S5N
1.0
8.286 -1.879 0.000
8.286 1.879 0.000
-1.857 0.000 7.280
Pa S N
4 5 1
direct
0.004 0.004 0.272 Pa
0.343 0.343 0.414 Pa
0.657 0.657 0.586 Pa
0.996 0.996 0.728 Pa
0.163 0.163 0.843 S
0.173 0.173 0.329 S
0.500 0.500 0.000 S
0.827 0.827 0.671 S
0.837 0.837 0.157 S
0.500 0.500 0.500 N
```

AsPF2 | GGA-PBE | relaxed

**Magnetic moment**: 0.0000 μB/atom
**ΔE_f (raw)**: -0.12 eV per atom
**SG**: Fm-3m, No. 225
**Energy above the most stable polymorph in this dataset**: 842 meV per atom
**DOS(E_F)**: 2.1 states/eV per cell

POSCAR file:
```
AsPF2
1.0
0.000 2.992 2.992
2.992 0.000 2.992
2.992 2.992 0.000
As P F
1 1 2
direct
0.000 0.000 0.000 As
0.500 0.500 0.500 P
0.250 0.250 0.250 F
0.750 0.750 0.750 F
```

Ca2Tl2Cl | GGA-PBE | relaxed

**Magnetic moment**: 0.0000 μB/atom
**ΔE_f (raw)**: -0.76 eV per atom
**SG**: P4/mbm, No. 127
**DOS(E_F)**: 5.0 states/eV per cell

POSCAR file:
```
Ca2Tl2Cl
1.0
7.658 0.000 0.000
0.000 7.658 0.000
0.000 0.000 5.218
Ca Tl Cl
4 4 2
direct
0.171 0.329 0.000 Ca
0.329 0.829 0.000 Ca
0.671 0.171 0.000 Ca
0.829 0.671 0.000 Ca
0.139 0.639 0.500 Tl
0.361 0.139 0.500 Tl
0.639 0.861 0.500 Tl
0.861 0.361 0.500 Tl
0.000 0.000 0.000 Cl
0.500 0.500 0.000 Cl
```

CdNF | GGA-PBE | relaxed

**Magnetic moment**: 0.0000 μB/atom
**ΔE_f (raw)**: -0.85 eV per atom
**SG**: P2_1/c, No. 14
**DOS(E_F)**: 3.6 states/eV per cell

POSCAR file:
```
CdNF
1.0
11.826 0.000 0.000
0.000 3.782 0.000
-0.860 0.000 6.007
Cd N F
4 4 4
direct
0.134 0.250 0.162 Cd
0.134 0.250 0.662 Cd
0.866 0.750 0.338 Cd
0.866 0.750 0.838 Cd
0.460 0.580 0.495 N
0.460 0.920 0.995 N
0.540 0.080 0.005 N
0.540 0.420 0.505 N
0.075 0.750 0.396 F
0.075 0.750 0.896 F
0.925 0.250 0.104 F
0.925 0.250 0.604 F
```

CoReTc | GGA-PBE | relaxed

**Magnetic moment**: 0.0000 μB/atom
**SG**: Cmcm, No. 63
**Energy above the most stable polymorph in this dataset**: 0 meV per atom
**DOS(E_F)**: 5.4 states/eV per cell
**ΔH_f (0 K)**: -0.0158 eV/atom

POSCAR file:
```
CoReTc
1.0
1.334 -6.997 0.000
1.334 6.997 0.000
0.000 0.000 4.265
Co Re Tc
2 2 2
direct
0.053 0.947 0.750 Co
0.947 0.053 0.250 Co
0.396 0.604 0.750 Re
0.604 0.396 0.250 Re
0.283 0.717 0.250 Tc
0.717 0.283 0.750 Tc
```

Ca3CePu2N6 | GGA-PBE | relaxed

**Magnetic moment**: 0.6670 μB/atom
**ΔE_f (raw)**: -1.23 eV per atom
**SG**: C2/m, No. 12
**DOS(E_F)**: 15.9 states/eV per cell

POSCAR file:
```
Ca3CePu2N6
1.0
7.650 -1.762 0.000
7.650 1.762 0.000
-1.517 0.000 6.823
Ca Ce Pu N
3 1 2 6
direct
0.000 0.000 0.000 Ca
0.332 0.332 0.667 Ca
0.668 0.668 0.333 Ca
0.000 0.000 0.500 Ce
0.332 0.332 0.165 Pu
0.668 0.668 0.835 Pu
0.163 0.163 0.610 N
0.176 0.176 0.063 N
0.491 0.491 0.261 N
0.509 0.509 0.739 N
0.824 0.824 0.937 N
0.837 0.837 0.390 N
```

CaTePd | GGA-PBE | relaxed

**Magnetic moment**: 0.0000 μB/atom
**ΔE_f (raw)**: -1.08 eV per atom
**SG**: P6_3mc, No. 186
**DOS(E_F)**: 0.0 states/eV per cell

POSCAR file:
```
CaTePd
1.0
4.606 0.000 0.000
-2.303 3.989 0.000
0.000 0.000 7.926
Ca Te Pd
2 2 2
direct
0.000 0.000 0.000 Ca
0.000 0.000 0.500 Ca
0.333 0.667 0.238 Te
0.667 0.333 0.738 Te
0.333 0.667 0.777 Pd
0.667 0.333 0.277 Pd
```

BaTeAsN2 | GGA-PBE | relaxed

**Magnetic moment**: 0.5245 μB/atom
**ΔE_f (raw)**: 0.79 eV per atom
**SG**: P4/mmm, No. 123
**Energy above the most stable polymorph in this dataset**: 0 meV per atom
**DOS(E_F)**: 3.1 states/eV per cell

POSCAR file:
```
BaTeAsN2
1.0
4.564 0.000 0.000
0.000 4.564 0.000
0.000 0.000 5.478
Ba Te As N
1 1 1 2
direct
0.000 0.000 0.000 Ba
0.500 0.500 0.000 Te
0.500 0.500 0.500 As
0.000 0.500 0.500 N
0.500 0.000 0.500 N
```

Tb2ScP3Ir12 | GGA-PBE | relaxed

**Magnetic moment**: 0.0000 μB/atom
**SG**: R-3m, No. 166
**DOS(E_F)**: 9.3 states/eV per cell
**ΔH_f (0 K)**: -0.1792 eV/atom

POSCAR file:
```
Tb2ScP3Ir12
1.0
4.498 2.597 4.285
-4.498 2.597 4.285
0.000 -5.194 4.285
Tb Sc P Ir
2 1 3 12
direct
0.130 0.130 0.130 Tb
0.870 0.870 0.870 Tb
0.500 0.500 0.500 Sc
0.000 0.500 0.500 P
0.500 0.000 0.500 P
0.500 0.500 0.000 P
0.125 0.125 0.604 Ir
0.125 0.604 0.125 Ir
0.172 0.676 0.676 Ir
0.324 0.324 0.828 Ir
0.324 0.828 0.324 Ir
0.396 0.875 0.875 Ir
0.604 0.125 0.125 Ir
0.676 0.172 0.676 Ir
0.676 0.676 0.172 Ir
0.828 0.324 0.324 Ir
0.875 0.396 0.875 Ir
0.875 0.875 0.396 Ir
```

TaAlCo2Si | GGA-PBE | relaxed

**Magnetic moment**: 0.1776 μB/atom
**ΔE_f (raw)**: 1.48 eV per atom
**SG**: P4/mmm, No. 123
**DOS(E_F)**: 6.2 states/eV per cell

POSCAR file:
```
TaAlCo2Si
1.0
4.463 0.000 0.000
0.000 4.463 0.000
0.000 0.000 5.039
Ta Al Co Si
1 1 2 1
direct
0.000 0.000 0.000 Ta
0.000 0.000 0.500 Al
0.000 0.500 0.000 Co
0.500 0.000 0.000 Co
0.500 0.500 0.500 Si
```

OsBr2Cl | GGA-PBE | relaxed

**Magnetic moment**: 0.2030 μB/atom
**ΔE_f (raw)**: 0.01 eV per atom
**SG**: Amm2, No. 38
**Energy above the most stable polymorph in this dataset**: 8 meV per atom
**DOS(E_F)**: 2.2 states/eV per cell

POSCAR file:
```
OsBr2Cl
1.0
3.743 0.000 0.000
0.000 2.447 6.508
0.000 -2.447 6.508
Os Br Cl
1 2 1
direct
0.000 0.000 0.000 Os
0.000 0.453 0.453 Br
0.500 0.124 0.124 Br
0.500 0.879 0.879 Cl
```

NaTaCo2I | GGA-PBE | relaxed

**Magnetic moment**: 0.0000 μB/atom
**ΔE_f (raw)**: 1.16 eV per atom
**SG**: P4/mmm, No. 123
**DOS(E_F)**: 3.0 states/eV per cell

POSCAR file:
```
NaTaCo2I
1.0
4.451 0.000 0.000
0.000 4.451 0.000
0.000 0.000 7.438
Na Ta Co I
1 1 2 1
direct
0.000 0.000 0.000 Na
0.000 0.000 0.500 Ta
0.000 0.500 0.500 Co
0.500 0.000 0.500 Co
0.500 0.500 0.000 I
```

MgZnCo2 | GGA-PBE | relaxed

**Magnetic moment**: 0.7073 μB/atom
**SG**: I-4m2, No. 119
**DOS(E_F)**: 3.6 states/eV per cell
**ΔH_f (0 K)**: 0.0805 eV/atom

POSCAR file:
```
MgZnCo2
1.0
-2.092 2.092 2.993
2.092 -2.092 2.993
2.092 2.092 -2.993
Mg Zn Co
1 1 2
direct
0.000 0.000 0.000 Mg
0.750 0.250 0.500 Zn
0.250 0.750 0.500 Co
0.500 0.500 0.000 Co
```

Sc2CrRh | GGA-PBE | relaxed

**Magnetic moment**: 0.5712 μB/atom
**SG**: R-3m, No. 166
**Energy above the most stable polymorph in this dataset**: 609 meV per atom
**DOS(E_F)**: 4.0 states/eV per cell
**ΔH_f (0 K)**: 0.2327 eV/atom

POSCAR file:
```
Sc2CrRh
1.0
1.507 0.870 9.192
-1.507 0.870 9.192
0.000 -1.741 9.192
Sc Cr Rh
2 1 1
direct
0.088 0.088 0.088 Sc
0.912 0.912 0.912 Sc
0.500 0.500 0.500 Cr
0.000 0.000 0.000 Rh
```

SrCoP2S | GGA-PBE | relaxed

**Magnetic moment**: 0.0010 μB/atom
**ΔE_f (raw)**: -0.39 eV per atom
**SG**: P4/mmm, No. 123
**Energy above the most stable polymorph in this dataset**: 0 meV per atom
**DOS(E_F)**: 4.4 states/eV per cell

POSCAR file:
```
SrCoP2S
1.0
4.308 0.000 0.000
0.000 4.308 0.000
0.000 0.000 5.349
Sr Co P S
1 1 2 1
direct
0.000 0.000 0.000 Sr
0.500 0.500 0.500 Co
0.000 0.500 0.500 P
0.500 0.000 0.500 P
0.500 0.500 0.000 S
```

PPbW2Br | GGA-PBE | relaxed

**Magnetic moment**: 0.3820 μB/atom
**ΔE_f (raw)**: 1.20 eV per atom
**SG**: P4/mmm, No. 123
**DOS(E_F)**: 2.2 states/eV per cell

POSCAR file:
```
PPbW2Br
1.0
4.502 0.000 0.000
0.000 4.502 0.000
0.000 0.000 6.526
P Pb W Br
1 1 2 1
direct
0.000 0.000 0.000 P
0.500 0.500 0.500 Pb
0.000 0.500 0.000 W
0.500 0.000 0.000 W
0.000 0.000 0.500 Br
```

KTl2In4 | GGA-PBE | relaxed

**Magnetic moment**: 0.0000 μB/atom
**SG**: Cmmm, No. 65
**DOS(E_F)**: 1.9 states/eV per cell
**ΔH_f (0 K)**: -0.0503 eV/atom

POSCAR file:
```
KTl2In4
1.0
2.459 -9.458 0.000
2.459 9.458 0.000
0.000 0.000 4.827
K Tl In
1 2 4
direct
0.000 0.000 0.000 K
0.415 0.585 0.500 Tl
0.585 0.415 0.500 Tl
0.191 0.809 0.500 In
0.306 0.694 0.000 In
0.694 0.306 0.000 In
0.809 0.191 0.500 In
```

Sm2Dy2TmSc2 | GGA-PBE | relaxed

**Magnetic moment**: 0.0000 μB/atom
**SG**: C2/m, No. 12
**DOS(E_F)**: 12.2 states/eV per cell
**ΔH_f (0 K)**: 0.1792 eV/atom

POSCAR file:
```
Sm2Dy2TmSc2
1.0
8.601 -1.695 0.000
8.601 1.695 0.000
-3.767 0.000 7.365
Sm Dy Tm Sc
2 2 1 2
direct
0.070 0.070 0.408 Sm
0.930 0.930 0.592 Sm
0.287 0.287 0.711 Dy
0.713 0.713 0.289 Dy
0.500 0.500 0.000 Tm
0.152 0.152 0.895 Sc
0.848 0.848 0.105 Sc
```